Material: Pr2MgO
Method: DFT, GGA-PBE
State: relaxed

Energy relative to the elements, uncorrected (eV/atom): -0.936
E above lowest polymorph (meV per atom): 101

a = 3.1884 Å, b = 3.1884 Å, c = 8.8161 Å
α = 90.00°, β = 90.00°, γ = 90.00°
Last column: nearest neighbours and their distance in Å.
Atoms (fractional coordinates):
Pr  0.0000  0.0000  0.1815  4 O 2.76
Pr  0.0000  0.0000  0.8185  4 O 2.76
Mg  0.5000  0.5000  0.5000  4 Mg 3.19
O  0.5000  0.5000  0.0000  8 Pr 2.76

Material: PrMgO
Method: DFT, GGA-PBE
State: relaxed

Energy relative to the elements, uncorrected (eV/atom): -1.686

a = 3.3916 Å, b = 3.4262 Å, c = 11.6534 Å
α = 90.00°, β = 90.00°, γ = 90.00°
Last column: nearest neighbours and their distance in Å.
Atoms (fractional coordinates):
Pr  0.2500  0.2500  0.1297  5 O 2.46-2.47
Pr  0.7500  0.7500  0.8703  5 O 2.46-2.47
Mg  0.2500  0.7500  0.5931  8 Mg 3.24-3.43
Mg  0.7500  0.2500  0.4069  8 Mg 3.24-3.43
O  0.2500  0.2500  0.9183  5 Pr 2.46-2.47
O  0.7500  0.7500  0.0817  5 Pr 2.46-2.47